Density functional theory data (GGA-PBE) for a geometry-optimized Ca2OsRh structure.

```
Ca2OsRh
1.0
-2.829 -3.985 -1.321
3.497 -1.356 -3.400
1.440 -1.744 2.176
Os Ca Rh
1 2 1
Cartesian
-0.695 -2.864 0.428 Os
0.000 0.000 0.000 Ca
0.334 -2.670 -2.360 Ca
2.468 -1.550 -0.612 Rh
```

## Properties
Its calculated density is 7.71 g/cm³. As for the volume: 80 Å³/f.u. The electronic total energy is -5.2821 eV/atom.

Density functional theory data (GGA-PBE) for a geometry-optimized CaOsRh2 structure.

```
CaOsRh2
1.0
-0.090 -5.551 -1.723
4.551 -3.609 0.229
-3.932 3.463 2.518
Rh Os Ca
2 1 1
Cartesian
1.313 -2.133 1.037 Rh
4.434 -9.104 -1.485 Rh
-0.755 -3.623 -0.023 Os
2.230 -4.578 -0.747 Ca
```

## Properties
Its calculated density is 10.84 g/cm³. As for the volume: 67 Å³/f.u. The electronic total energy is -6.8325 eV/atom.